First-principles (PBE) data for a geometry-optimized TiAgAu2 structure, as listed in the Alexandria database.

space-group type	No. 123

Lattice parameters (Å, degrees): 3.0162 3.0162 7.7445 90.00 90.00 90.00
Closest atoms and distances in Å follow each position.
Fractional coordinates of all 4 atoms:
1 Ti 0.0000 0.0000 0.0000  8 Au 2.81, 4 Ti 3.02
2 Ag 0.0000 0.0000 0.5000  8 Au 2.96, 4 Ag 3.02
3 Au 0.5000 0.5000 0.2356  4 Ti 2.81, 4 Ag 2.96, 4 Au 3.02
4 Au 0.5000 0.5000 0.7644  4 Ti 2.81, 4 Ag 2.96, 4 Au 3.02

First-principles (PBE) data for a geometry-optimized MgFeCl2 structure, as listed in the Alexandria database.

raw formation energy	-0.377	eV per atom
space-group type	No. 71

Lattice parameters (Å, degrees): 7.0043 7.0043 7.0043 152.42 144.60 45.46
Closest atoms and distances in Å follow each position.
Fractional coordinates of all 4 atoms:
1 Mg 0.0000 0.0000 0.0000  4 Cl 2.64, 4 Fe 2.71
2 Fe 0.5000 0.5000 0.0000  4 Cl 2.29
3 Cl 0.3788 0.8788 0.5000  2 Fe 2.29
4 Cl 0.6212 0.1212 0.5000  2 Fe 2.29

First-principles (PBE) data for a geometry-optimized LiInPb structure, as listed in the Alexandria database.

space-group type	No. 62

Lattice parameters (Å, degrees): 7.1386 4.4074 9.6670 90.00 90.00 90.00
Closest atoms and distances in Å follow each position.
Fractional coordinates of all 12 atoms:
1 Li 0.1237 0.2500 0.2473  5 Pb 3.22-3.26, 5 In 3.22-3.29, 2 Li 3.57
2 Li 0.3763 0.7500 0.7473  5 Pb 3.22-3.26, 5 In 3.22-3.29, 2 Li 3.57
3 Li 0.6237 0.2500 0.2527  5 Pb 3.22-3.26, 5 In 3.22-3.29, 2 Li 3.57
4 Li 0.8763 0.7500 0.7527  5 Pb 3.22-3.26, 5 In 3.22-3.29, 2 Li 3.57
5 In 0.1190 0.2500 0.5808  2 In 3.19, 4 Pb 3.21-3.46, 5 Li 3.22-3.29
6 In 0.3810 0.7500 0.0808  2 In 3.19, 4 Pb 3.21-3.46, 5 Li 3.22-3.29
7 In 0.6190 0.2500 0.9192  2 In 3.19, 4 Pb 3.21-3.46, 5 Li 3.22-3.29
8 In 0.8810 0.7500 0.4192  2 In 3.19, 4 Pb 3.21-3.46, 5 Li 3.22-3.29
9 Pb 0.1343 0.2500 0.9124  4 In 3.21-3.46, 5 Li 3.22-3.26, 2 Pb 3.38
10 Pb 0.3657 0.7500 0.4124  4 In 3.21-3.46, 5 Li 3.22-3.26, 2 Pb 3.38
11 Pb 0.6343 0.2500 0.5876  4 In 3.21-3.46, 5 Li 3.22-3.26, 2 Pb 3.38
12 Pb 0.8657 0.7500 0.0876  4 In 3.21-3.46, 5 Li 3.22-3.26, 2 Pb 3.38

First-principles (PBE) data for a geometry-optimized NpSe3 structure, as listed in the Alexandria database.

raw formation energy	-0.591	eV per atom
space-group type	No. 139

Lattice parameters (Å, degrees): 5.8301 5.8301 5.8301 138.60 138.60 59.99
Closest atoms and distances in Å follow each position.
Fractional coordinates of all 4 atoms:
1 Np 0.0000 0.0000 0.0000  12 Se 2.91-3.26
2 Se 0.2500 0.7500 0.5000  8 Se 2.91-3.26, 4 Np 3.26
3 Se 0.5000 0.5000 0.0000  4 Np 2.91, 8 Se 3.26
4 Se 0.7500 0.2500 0.5000  8 Se 2.91-3.26, 4 Np 3.26

First-principles (PBE) data for a geometry-optimized AgSbHOs2 structure, as listed in the Alexandria database.

space-group type	No. 123

Lattice parameters (Å, degrees): 5.0310 5.0310 3.3508 90.00 90.00 90.00
Closest atoms and distances in Å follow each position.
Fractional coordinates of all 5 atoms:
1 Ag 0.0000 0.0000 0.0000  8 Os 3.02, 2 Ag 3.35
2 Sb 0.5000 0.5000 0.5000  2 H 1.68
3 H 0.5000 0.5000 0.0000  2 Sb 1.68
4 Os 0.0000 0.5000 0.5000  2 Sb 2.52
5 Os 0.5000 0.0000 0.5000  2 Sb 2.52

First-principles (PBE) data for a geometry-optimized TmMgSn3 structure, as listed in the Alexandria database.

space-group type	No. 57

Lattice parameters (Å, degrees): 13.0321 6.1623 6.2612 90.00 90.00 90.00
Closest atoms and distances in Å follow each position.
Fractional coordinates of all 20 atoms:
1 Tm 0.1874 0.0041 0.2500  9 Sn 3.11-3.29, 2 Mg 3.39
2 Tm 0.1874 0.4959 0.7500  9 Sn 3.11-3.29, 2 Mg 3.39
3 Tm 0.8126 0.5041 0.2500  9 Sn 3.11-3.29, 2 Mg 3.39
4 Tm 0.8126 0.9959 0.7500  9 Sn 3.11-3.29, 2 Mg 3.39
5 Mg 0.3866 0.2500 0.0000  6 Sn 3.03-3.19, 2 Mg 3.13, 2 Tm 3.39
6 Mg 0.3866 0.2500 0.5000  6 Sn 3.03-3.19, 2 Mg 3.13, 2 Tm 3.39
7 Mg 0.6134 0.7500 0.0000  6 Sn 3.03-3.19, 2 Mg 3.13, 2 Tm 3.39
8 Mg 0.6134 0.7500 0.5000  6 Sn 3.03-3.19, 2 Mg 3.13, 2 Tm 3.39
9 Sn 0.0006 0.7500 0.0000  4 Sn 3.08-3.13, 4 Tm 3.28-3.29
10 Sn 0.0006 0.7500 0.5000  4 Sn 3.08-3.13, 4 Tm 3.28-3.29
11 Sn 0.2280 0.5062 0.2500  2 Mg 3.04, 1 Sn 3.05, 4 Tm 3.11-3.18
12 Sn 0.2280 0.9938 0.7500  2 Mg 3.04, 1 Sn 3.05, 4 Tm 3.11-3.18
13 Sn 0.4158 0.6973 0.7500  4 Mg 3.03-3.19, 3 Sn 3.05-3.20, 1 Tm 3.22
14 Sn 0.4158 0.8027 0.2500  4 Mg 3.03-3.19, 3 Sn 3.05-3.20, 1 Tm 3.22
15 Sn 0.5842 0.1973 0.7500  4 Mg 3.03-3.19, 3 Sn 3.05-3.20, 1 Tm 3.22
16 Sn 0.5842 0.3027 0.2500  4 Mg 3.03-3.19, 3 Sn 3.05-3.20, 1 Tm 3.22
17 Sn 0.7720 0.0062 0.2500  2 Mg 3.04, 1 Sn 3.05, 4 Tm 3.11-3.18
18 Sn 0.7720 0.4938 0.7500  2 Mg 3.04, 1 Sn 3.05, 4 Tm 3.11-3.18
19 Sn 0.9994 0.2500 0.0000  4 Sn 3.08-3.13, 4 Tm 3.28-3.29
20 Sn 0.9994 0.2500 0.5000  4 Sn 3.08-3.13, 4 Tm 3.28-3.29

First-principles (PBE) data for a geometry-optimized Hf3RhS structure, as listed in the Alexandria database.

raw formation energy	-0.705	eV per atom
space-group type	No. 15

Lattice parameters (Å, degrees): 8.6670 8.6670 5.7063 90.14 90.14 80.77
Closest atoms and distances in Å follow each position.
Fractional coordinates of all 20 atoms:
1 Hf 0.0276 0.1889 0.4018  3 S 2.45-2.68, 1 Rh 2.65
2 Hf 0.0874 0.6467 0.0930  2 S 2.49-2.69, 2 Rh 2.62-2.64
3 Hf 0.1777 0.4696 0.5824  2 Rh 2.65-2.87, 1 S 2.70
4 Hf 0.1889 0.0276 0.9018  3 S 2.45-2.68, 1 Rh 2.65
5 Hf 0.3533 0.9126 0.4070  2 S 2.49-2.69, 2 Rh 2.62-2.64
6 Hf 0.4696 0.1777 0.0824  2 Rh 2.65-2.87, 1 S 2.70
7 Hf 0.5304 0.8223 0.9176  2 Rh 2.65-2.87, 1 S 2.70
8 Hf 0.6467 0.0874 0.5930  2 S 2.49-2.69, 2 Rh 2.62-2.64
9 Hf 0.8111 0.9724 0.0982  3 S 2.45-2.68, 1 Rh 2.65
10 Hf 0.8223 0.5304 0.4176  2 Rh 2.65-2.87, 1 S 2.70
11 Hf 0.9126 0.3533 0.9070  2 S 2.49-2.69, 2 Rh 2.62-2.64
12 Hf 0.9724 0.8111 0.5982  3 S 2.45-2.68, 1 Rh 2.65
13 Rh 0.1858 0.3449 0.1155  5 Hf 2.62-2.87
14 Rh 0.3449 0.1858 0.6155  5 Hf 2.62-2.87
15 Rh 0.6551 0.8142 0.3845  5 Hf 2.62-2.87
16 Rh 0.8142 0.6551 0.8845  5 Hf 2.62-2.87
17 S 0.0847 0.9153 0.2500  6 Hf 2.45-2.50
18 S 0.2672 0.7328 0.7500  6 Hf 2.68-2.70
19 S 0.7328 0.2672 0.2500  6 Hf 2.68-2.70
20 S 0.9153 0.0847 0.7500  6 Hf 2.45-2.50

First-principles (PBE) data for a geometry-optimized Tl2InSnO6 structure, as listed in the Alexandria database.

raw formation energy	-1.114	eV per atom
space-group type	No. 146

Lattice parameters (Å, degrees): 5.9587 5.9587 5.9587 57.60 57.60 57.60
Closest atoms and distances in Å follow each position.
Fractional coordinates of all 10 atoms:
1 Tl 0.0000 0.0000 0.0000  6 O 2.27-2.47
2 Tl 0.4924 0.4924 0.4924  6 O 2.31-2.57
3 In 0.2223 0.2223 0.2223  6 O 2.19-2.29
4 Sn 0.7174 0.7174 0.7174  6 O 2.10-2.16
5 O 0.0697 0.4403 0.8499  1 Sn 2.10, 1 In 2.29, 1 Tl 2.31
6 O 0.3506 0.9275 0.5944  1 Sn 2.16, 1 In 2.19, 1 Tl 2.27
7 O 0.4403 0.8499 0.0697  1 Sn 2.10, 1 In 2.29, 1 Tl 2.31
8 O 0.5944 0.3506 0.9275  1 Sn 2.16, 1 In 2.19, 1 Tl 2.27
9 O 0.8499 0.0697 0.4403  1 Sn 2.10, 1 In 2.29, 1 Tl 2.31
10 O 0.9275 0.5944 0.3506  1 Sn 2.16, 1 In 2.19, 1 Tl 2.27

no.,uncorrected energy (eV for the cell shown),volume (Å³ per atom)
1,-18.3,17.6
2,-15.3,23.0
3,-35.2,25.3
4,-25.8,21.4
5,-24.6,17.0
6,-79.4,25.1
7,-179.5,21.2
8,-52.4,14.1